1.
Material: PbSeClO4
Method: DFT, PBE
State: relaxed

Structure (CIF):
```
data_PbSeClO4
_chemical_formula_sum 'Pb4 Se4 Cl4 O16'
_cell_length_a 10.160
_cell_length_b 7.442
_cell_length_c 6.949
_cell_angle_alpha 90.00
_cell_angle_beta 106.19
_cell_angle_gamma 90.00
_symmetry_space_group_name_H-M 'C 1 2/m 1'
_symmetry_Int_Tables_number 12
_symmetry_space_group_name_Hall '-C 2y'
loop_
_atom_site_label
_atom_site_type_symbol
_atom_site_fract_x
_atom_site_fract_y
_atom_site_fract_z
Pb1 Pb 0.220 0.000 0.134
Se1 Se 0.139 0.500 0.269
Cl1 Cl 0.024 0.000 0.765
O1 O 0.022 0.500 0.720
O2 O 0.177 0.327 0.133
O3 O 0.248 0.500 0.500
```

2.
Material: Pb2Se2ClO6
Method: DFT, PBE
State: relaxed

Structure (CIF):
```
data_Pb2Se2ClO6
_chemical_formula_sum 'Pb2 Se2 Cl1 O6'
_cell_length_a 5.592
_cell_length_b 6.277
_cell_length_c 7.046
_cell_angle_alpha 68.71
_cell_angle_beta 82.66
_cell_angle_gamma 87.30
_symmetry_space_group_name_H-M 'P -1'
_symmetry_Int_Tables_number 2
_symmetry_space_group_name_Hall '-P 1'
loop_
_atom_site_label
_atom_site_type_symbol
_atom_site_fract_x
_atom_site_fract_y
_atom_site_fract_z
Pb1 Pb 0.214 0.395 0.291
Se1 Se 0.262 0.184 0.862
Cl1 Cl 0.500 0.000 0.500
O1 O 0.078 0.224 0.060
O2 O 0.149 0.398 0.651
O3 O 0.464 0.709 0.125
```

| no. | E_form (uncorrected) (eV/atom) | volume (Å³ per cell) |
| --- | --- | --- |
| 1 | -0.65 | 505 |
| 2 | -0.91 | 229 |